No. 1
DFT (GGA-PBE) results for a geometry-optimized ZnFe4Tc structure.

Its space group is No. 216. For the formation energy, the calculation gives 12.5 kJ per mole of atoms.

abc: 4.7022 4.7022 4.7022
angles: 60.00 60.00 60.00
Last column: nearest neighbours and their distance in Å.
Fractional positions:
Zn (0.0000, 0.0000, 0.0000)  12 Fe 2.76, 4 Tc 2.88
Fe (0.1263, 0.6246, 0.6246)  6 Fe 2.34-2.36
Fe (0.6246, 0.1263, 0.6246)  6 Fe 2.34-2.36
Fe (0.6246, 0.6246, 0.1263)  6 Fe 2.34-2.36
Fe (0.6246, 0.6246, 0.6246)  6 Fe 2.34-2.36
Tc (0.2500, 0.2500, 0.2500)  12 Fe 2.76, 4 Zn 2.88

***

No. 2
DFT (GGA-PBE) results for a geometry-optimized BaCu3N structure.

Its space group is No. 221. For the energy relative to the lowest polymorph listed for this composition, the calculation gives 2.0984 eV per atom. As for the raw formation energy: 13.2 eV per formula unit.

abc: 5.5516 5.5516 5.5516
angles: 90.00 90.00 90.00
Last column: nearest neighbours and their distance in Å.
Fractional positions:
Ba (0.0000, 0.0000, 0.0000)  6 Cu 2.78
Cu (0.0000, 0.0000, 0.5000)  2 Ba 2.78
Cu (0.0000, 0.5000, 0.0000)  2 Ba 2.78
Cu (0.5000, 0.0000, 0.0000)  2 Ba 2.78
N (0.5000, 0.5000, 0.5000)  12 Cu 3.93

***

No. 3
DFT (GGA-PBE) results for a geometry-optimized Tb2Ga2S7 structure.

Its space group is No. 12. As for the raw formation energy: -11.8 eV per formula unit.

abc: 7.1130 7.1130 6.5765
angles: 102.46 102.46 111.35
Last column: nearest neighbours and their distance in Å.
Fractional positions:
Tb (0.1878, 0.8122, 0.0000)  6 S 2.71-2.82
Tb (0.8122, 0.1878, 0.0000)  6 S 2.71-2.82
Ga (0.2637, 0.2637, 0.6404)  4 S 2.22-2.40
Ga (0.7363, 0.7363, 0.3596)  4 S 2.22-2.40
S (0.0625, 0.3957, 0.7797)  1 Ga 2.22
S (0.1764, 0.1764, 0.2619)  1 Ga 2.31, 1 S 2.47
S (0.3957, 0.0625, 0.7797)  1 Ga 2.22
S (0.5000, 0.5000, 0.5000)  2 Ga 2.40, 2 S 2.47
S (0.6043, 0.9375, 0.2203)  1 Ga 2.22
S (0.8236, 0.8236, 0.7381)  1 Ga 2.31, 1 S 2.47
S (0.9375, 0.6043, 0.2203)  1 Ga 2.22

***

No. 4
DFT (GGA-PBE) results for a geometry-optimized LuVGa structure.

Its space group is No. 107. For the formation energy, the calculation gives -5.0 kJ per mole of atoms.

abc: 5.5546 5.5546 5.5546
angles: 144.90 144.90 50.48
Last column: nearest neighbours and their distance in Å.
Fractional positions:
Lu (0.0000, 0.0000, 0.0000)  5 V 3.01-3.17, 5 Ga 3.03-3.09, 4 Lu 3.35
V (0.3152, 0.3152, 0.0000)  4 Ga 2.65
Ga (0.6980, 0.6980, 0.0000)  4 V 2.65

***

No. 5
DFT (GGA-PBE) results for a geometry-optimized LiTb2Sm structure.

Its space group is No. 160. For the formation energy, the calculation gives 10.1 kJ per mole of atoms. For the energy relative to the lowest polymorph listed for this composition, the calculation gives 0.0312 eV per atom.

abc: 11.4403 11.4403 11.4403
angles: 17.80 17.80 17.80
Last column: nearest neighbours and their distance in Å.
Fractional positions:
Li (0.0000, 0.0000, 0.0000)  6 Tb 3.40, 6 Li 3.54
Tb (0.4137, 0.4137, 0.4137)  3 Li 3.40, 6 Tb 3.54, 3 Sm 3.56
Tb (0.5863, 0.5863, 0.5863)  3 Li 3.40, 6 Tb 3.54, 3 Sm 3.56
Sm (0.8333, 0.8333, 0.8333)  6 Sm 3.54, 6 Tb 3.56

***

No. 6
DFT (GGA-PBE) results for a geometry-optimized Cs2GaPbI5 structure.

Its space group is No. 36. As for the raw formation energy: -8.7 eV per formula unit.

abc: 11.0433 11.0433 16.8992
angles: 90.00 90.00 153.68
Last column: nearest neighbours and their distance in Å.
Fractional positions:
Cs (0.0938, 0.9062, 0.5000)  6 I 3.78-3.95
Cs (0.1357, 0.8643, 0.1408)  8 I 3.86-4.20
Cs (0.8643, 0.1357, 0.6408)  8 I 3.86-4.20
Cs (0.9062, 0.0938, 0.0000)  6 I 3.78-3.95
Ga (0.4604, 0.5396, 0.2932)  4 I 3.13-3.34
Ga (0.5396, 0.4604, 0.7932)  4 I 3.13-3.34
Pb (0.2172, 0.7828, 0.8625)  6 I 3.21-3.35
Pb (0.7828, 0.2172, 0.3625)  6 I 3.21-3.35
I (0.0717, 0.9283, 0.9061)  1 Pb 3.21, 2 Ga 3.23
I (0.2707, 0.7293, 0.4926)  2 Pb 3.35
I (0.3113, 0.6887, 0.2387)  2 Pb 3.33, 1 Ga 3.34
I (0.3663, 0.6337, 0.8269)  1 Pb 3.26
I (0.4990, 0.5010, 0.6156)  1 Ga 3.13
I (0.5010, 0.4990, 0.1156)  1 Ga 3.13
I (0.6337, 0.3663, 0.3269)  1 Pb 3.26
I (0.6887, 0.3113, 0.7387)  2 Pb 3.33, 1 Ga 3.34
I (0.7293, 0.2707, 0.9926)  2 Pb 3.35
I (0.9283, 0.0717, 0.4061)  1 Pb 3.21, 2 Ga 3.23

***

No. 7
DFT (GGA-PBE) results for a geometry-optimized LiLaDyEr structure.

Its space group is No. 216. For the formation energy, the calculation gives 15.7 kJ per mole of atoms.

abc: 5.5592 5.5592 5.5592
angles: 60.00 60.00 60.00
Last column: nearest neighbours and their distance in Å.
Fractional positions:
Li (0.0000, 0.0000, 0.0000)  4 La 3.40, 4 Dy 3.40
La (0.7500, 0.7500, 0.7500)  4 Li 3.40, 4 Er 3.40
Dy (0.2500, 0.2500, 0.2500)  4 Er 3.40, 4 Li 3.40
Er (0.5000, 0.5000, 0.5000)  4 La 3.40, 4 Dy 3.40

***

No. 8
DFT (GGA-PBE) results for a geometry-optimized CdAg2Au structure.

Its space group is No. 12. For the formation energy, the calculation gives -7.1 kJ per mole of atoms.

abc: 5.1907 5.1907 5.0638
angles: 101.15 101.15 33.81
Last column: nearest neighbours and their distance in Å.
Fractional positions:
Cd (0.0000, 0.0000, 0.0000)  4 Au 2.95, 6 Ag 2.98-3.00, 2 Cd 3.02
Ag (0.2482, 0.2482, 0.7476)  6 Ag 2.93-3.02, 3 Au 2.95-3.02, 3 Cd 2.98-3.00
Ag (0.7518, 0.7518, 0.2524)  6 Ag 2.93-3.02, 3 Au 2.95-3.02, 3 Cd 2.98-3.00
Au (0.5000, 0.5000, 0.5000)  6 Ag 2.95-3.02, 4 Cd 2.95, 2 Au 3.02

***

No. 9
DFT (GGA-PBE) results for a geometry-optimized SrEr2Lu structure.

Its space group is No. 166. For the formation energy, the calculation gives 23.6 kJ per mole of atoms. For the energy relative to the lowest polymorph listed for this composition, the calculation gives 0.0917 eV per atom.

abc: 12.7867 12.7867 12.7867
angles: 16.00 16.00 16.00
Last column: nearest neighbours and their distance in Å.
Fractional positions:
Sr (0.0000, 0.0000, 0.0000)  2 Er 3.56, 6 Sr 3.56
Er (0.0940, 0.0940, 0.0940)  3 Lu 3.43, 1 Sr 3.56, 6 Er 3.56
Er (0.9060, 0.9060, 0.9060)  3 Lu 3.43, 1 Sr 3.56, 6 Er 3.56
Lu (0.5000, 0.5000, 0.5000)  6 Er 3.43, 6 Lu 3.56

***

No. 10
DFT (GGA-PBE) results for a geometry-optimized LaGeSb3 structure.

Its space group is No. 221. For the energy relative to the lowest polymorph listed for this composition, the calculation gives 0.7886 eV per atom. As for the raw formation energy: 3.9 eV per formula unit.

abc: 5.9913 5.9913 5.9913
angles: 90.00 90.00 90.00
Last column: nearest neighbours and their distance in Å.
Fractional positions:
La (0.0000, 0.0000, 0.0000)  6 Sb 3.00
Ge (0.5000, 0.5000, 0.5000)  12 Sb 4.24
Sb (0.0000, 0.0000, 0.5000)  2 La 3.00
Sb (0.0000, 0.5000, 0.0000)  2 La 3.00
Sb (0.5000, 0.0000, 0.0000)  2 La 3.00

***

No. 11
DFT (GGA-PBE) results for a geometry-optimized AlCuI structure.

Its space group is No. 38. As for the raw formation energy: 0.6 eV per formula unit.

abc: 11.0776 3.7539 3.7539
angles: 59.93 90.00 90.00
Last column: nearest neighbours and their distance in Å.
Fractional positions:
Al (0.1267, 0.0000, 0.0000)  3 Cu 2.58, 1 Al 2.81
Al (0.8733, 0.0000, 0.0000)  3 Cu 2.58, 1 Al 2.81
Cu (0.0000, 0.3330, 0.3330)  6 Al 2.58
Cu (0.5000, 0.3318, 0.3318)  6 I 2.84-2.85
I (0.3327, 0.6634, 0.6634)  3 Cu 2.84-2.85, 3 Al 3.14-3.16
I (0.6673, 0.6634, 0.6634)  3 Cu 2.84-2.85, 3 Al 3.14-3.16

***

No. 12
DFT (GGA-PBE) results for a geometry-optimized PuMg4Au5 structure.

Its space group is No. 123. For the formation energy, the calculation gives -54.7 kJ per mole of atoms.

abc: 3.3420 3.3420 17.1115
angles: 90.00 90.00 90.00
Last column: nearest neighbours and their distance in Å.
Fractional positions:
Pu (0.0000, 0.0000, 0.0000)  8 Au 3.18, 4 Pu 3.34
Mg (0.0000, 0.0000, 0.2172)  8 Au 2.85-2.87
Mg (0.0000, 0.0000, 0.4060)  8 Au 2.86
Mg (0.0000, 0.0000, 0.5940)  8 Au 2.86
Mg (0.0000, 0.0000, 0.7828)  8 Au 2.85-2.87
Au (0.5000, 0.5000, 0.1244)  4 Mg 2.85, 4 Pu 3.18
Au (0.5000, 0.5000, 0.3121)  8 Mg 2.86-2.87
Au (0.5000, 0.5000, 0.5000)  8 Mg 2.86
Au (0.5000, 0.5000, 0.6879)  8 Mg 2.86-2.87
Au (0.5000, 0.5000, 0.8756)  4 Mg 2.85, 4 Pu 3.18

***

No. 13
DFT (GGA-PBE) results for a geometry-optimized Pm2GeCl structure.

Its space group is No. 123. For the energy relative to the lowest polymorph listed for this composition, the calculation gives 0.2518 eV per atom. As for the raw formation energy: -4.0 eV per formula unit.

abc: 3.4952 3.4952 7.8435
angles: 90.00 90.00 90.00
Last column: nearest neighbours and their distance in Å.
Fractional positions:
Pm (0.0000, 0.0000, 0.2349)  4 Ge 3.08, 4 Cl 3.23
Pm (0.0000, 0.0000, 0.7651)  4 Ge 3.08, 4 Cl 3.23
Ge (0.5000, 0.5000, 0.0000)  8 Pm 3.08
Cl (0.5000, 0.5000, 0.5000)  8 Pm 3.23, 4 Cl 3.50